VASP calculation (PBE) on an optimized crystal structure of KLiHg2.

Properties
- Calculated volume: 226.5 Å³/cell
- Excess energy over the best structure of this formula in the dataset: 132 meV per atom

Cell lengths 4.837, 4.837, 9.680 Å; angles 90.00, 90.00, 90.00 degrees
Space group I-4m2 (No. 119)
Inequivalent atoms, fractional coordinates:
K  0.000  0.000  0.000 x2
Li  0.000  0.500  0.750 x2
Hg  0.000  0.000  0.500 x2
Hg  0.000  0.500  0.250 x2

=====

VASP calculation (PBE) on an optimized crystal structure of CsCdSb2.

Properties
- E_form (uncorrected): -0.26 eV/atom
- Calculated volume: 1252.7 Å³/cell

Cell lengths 6.645, 30.129, 6.257 Å; angles 90.00, 90.00, 90.00 degrees
Space group Fmm2 (No. 42)
Inequivalent atoms, fractional coordinates:
Cs  0.000  0.113  0.000 x8
Cd  0.250  0.250  0.250 x8
Sb  0.000  0.188  0.500 x8
Sb  0.212  0.000  0.318 x8

=====

VASP calculation (PBE) on an optimized crystal structure of TaAs2SeBr.

Properties
- E_form (uncorrected): 1.32 eV/atom
- Calculated volume: 122.7 Å³/cell
- Excess energy over the best structure of this formula in the dataset: 1186 meV per atom

Cell lengths 5.031, 5.031, 4.850 Å; angles 90.00, 90.00, 90.00 degrees
Space group P4/mmm (No. 123)
Inequivalent atoms, fractional coordinates:
Ta  0.000  0.000  0.000 x1
As  0.000  0.500  0.500 x2
Se  0.500  0.500  0.500 x1
Br  0.500  0.500  0.000 x1